Entry 1:
Here is a geometry-optimized CeDy2Tl2Cd2 structure from Alexandria. Energies are from PBE-GGA.

Properties
total moment	0.202	μB/atom
DFT formation energy	-83	kJ/mol of formula units

a b c (Å): 5.0634 5.0634 9.1709
angles (deg): 73.97 73.97 60.00
Last column: nearest neighbours and their distance in Å.
Fractional positions:
1 Dy 0.1329 0.1329 0.6013  3 Cd 3.07, 3 Dy 3.41, 3 Tl 3.42
2 Cd 0.4305 0.4305 0.7084  3 Tl 3.04, 3 Dy 3.07
3 Tl 0.7318 0.7318 0.8045  3 Cd 3.04, 3 Ce 3.38
4 Tl 0.2682 0.2682 0.1955  3 Cd 3.04, 3 Ce 3.38
5 Ce 0.0000 0.0000 0.0000  6 Tl 3.38, 2 Dy 3.47
6 Cd 0.5695 0.5695 0.2916  3 Tl 3.04, 3 Dy 3.07
7 Dy 0.8671 0.8671 0.3987  3 Cd 3.07, 3 Dy 3.41, 3 Tl 3.42

***

Entry 2:
Here is a geometry-optimized NaCoN structure from Alexandria. Energies are from PBE-GGA.

Properties
excess energy over the best structure of this formula in the dataset	65	meV/atom
total moment	0.154	μB/atom

a b c (Å): 3.4548 5.9521 8.7698
angles (deg): 90.00 90.00 90.00
Last column: nearest neighbours and their distance in Å.
Fractional positions:
1 N 0.2500 0.1808 0.9467  3 Co 1.77-1.95
2 Co 0.7500 0.3803 0.4647  3 N 1.77-1.95
3 Na 0.7500 0.9359 0.3272  2 N 2.50
4 N 0.7500 0.8192 0.0533  3 Co 1.77-1.95
5 Na 0.2500 0.4359 0.1728  2 N 2.50
6 Co 0.7500 0.1197 0.9647  3 N 1.77-1.95
7 Co 0.2500 0.6197 0.5353  3 N 1.77-1.95
8 Na 0.7500 0.5641 0.8272  2 N 2.50
9 Na 0.2500 0.0641 0.6728  2 N 2.50
10 Co 0.2500 0.8803 0.0353  3 N 1.77-1.95
11 N 0.7500 0.6808 0.5533  3 Co 1.77-1.95
12 N 0.2500 0.3192 0.4467  3 Co 1.77-1.95

***

Entry 3:
Here is a geometry-optimized ReSiPb3 structure from Alexandria. Energies are from PBE-GGA.

Properties
excess energy over the best structure of this formula in the dataset	601	meV/atom
total moment	0.721	μB/atom

a b c (Å): 5.2936 5.2936 5.2936
angles (deg): 90.00 90.00 90.00
Last column: nearest neighbours and their distance in Å.
Fractional positions:
1 Si 0.0000 0.0000 0.0000  6 Pb 2.65
2 Re 0.5000 0.5000 0.5000  12 Pb 3.74
3 Pb 0.0000 0.5000 0.0000  2 Si 2.65
4 Pb 0.5000 0.0000 0.0000  2 Si 2.65
5 Pb 0.0000 0.0000 0.5000  2 Si 2.65

***

Entry 4:
Here is a geometry-optimized CsMnOs3 structure from Alexandria. Energies are from PBE-GGA.

Properties
excess energy over the best structure of this formula in the dataset	2336	meV/atom
total moment	0.304	μB/atom
DFT formation energy	2137	kJ/mol of formula units

a b c (Å): 4.8627 4.8627 4.8627
angles (deg): 90.00 90.00 90.00
Last column: nearest neighbours and their distance in Å.
Fractional positions:
1 Os 0.0000 0.5000 0.0000  2 Cs 2.43
2 Os 0.0000 0.0000 0.5000  2 Cs 2.43
3 Mn 0.5000 0.5000 0.5000  12 Os 3.44
4 Os 0.5000 0.0000 0.0000  2 Cs 2.43
5 Cs 0.0000 0.0000 0.0000  6 Os 2.43

***

Question: Which value of total moment does entry 1 give?
Answer: 0.202 μB/atom

***

Question: The lowest total moment belongs to which entry?
Answer: NaCoN

***

Question: Which formula does entry 4 have?
Answer: CsMnOs3

***

Repeat the second record exactly.
Here is a geometry-optimized NaCoN structure from Alexandria. Energies are from PBE-GGA.

Properties
excess energy over the best structure of this formula in the dataset	65	meV/atom
total moment	0.154	μB/atom

a b c (Å): 3.4548 5.9521 8.7698
angles (deg): 90.00 90.00 90.00
Last column: nearest neighbours and their distance in Å.
Fractional positions:
1 N 0.2500 0.1808 0.9467  3 Co 1.77-1.95
2 Co 0.7500 0.3803 0.4647  3 N 1.77-1.95
3 Na 0.7500 0.9359 0.3272  2 N 2.50
4 N 0.7500 0.8192 0.0533  3 Co 1.77-1.95
5 Na 0.2500 0.4359 0.1728  2 N 2.50
6 Co 0.7500 0.1197 0.9647  3 N 1.77-1.95
7 Co 0.2500 0.6197 0.5353  3 N 1.77-1.95
8 Na 0.7500 0.5641 0.8272  2 N 2.50
9 Na 0.2500 0.0641 0.6728  2 N 2.50
10 Co 0.2500 0.8803 0.0353  3 N 1.77-1.95
11 N 0.7500 0.6808 0.5533  3 Co 1.77-1.95
12 N 0.2500 0.3192 0.4467  3 Co 1.77-1.95